A plane-wave DFT calculation with GGA-PBE was carried out for a relaxed structure of CsPmInSe3.

ΔE_f (raw), meV per atom: -1211.1
Space-group type: P2_1/m
Theoretical density, Mg/m³: 4.68

```
CsPmInSe3
1.0
-4.380 0.121 1.841
2.829 -5.496 7.093
1.388 10.171 2.635
Se Pm Cs In
6 2 2 2
direct
0.250 0.775 0.446
0.750 0.225 0.554
0.750 0.474 0.150
0.250 0.120 0.855
0.750 0.880 0.145
0.250 0.526 0.850
0.750 0.335 0.866
0.250 0.665 0.134
0.250 0.221 0.242
0.750 0.779 0.758
0.250 0.109 0.599
0.750 0.891 0.401
```